{"formula": "CrIOF2", "functional": "PBE with a Hubbard U", "state": "relaxed", "m_tot_mub_per_atom": 0.659, "crystal_system": "tetragonal", "e_above_lowest_polymorph_mev_per_atom": 0, "space_group": "P4/mmm, No. 123", "e_tot_ev_per_fu": -23.99, "lattice": [[3.891, 0.000, 0.000], [0.000, 3.891, 0.000], [0.000, 0.000, 4.861]], "species": ["F", "F", "I", "Cr", "O"], "fractional_positions": [[0.000, 0.500, 0.000], [0.500, 0.000, 0.000], [0.500, 0.500, 0.500], [0.000, 0.000, 0.000], [0.000, 0.000, 0.500]]}